# 1
SrCo2Ni | GGA-PBE | relaxed

Cell: 3.138 3.138 6.826 Å, 90.00 90.00 90.00°
Positions (direct):
Sr 0.000 0.000 0.000
Co 0.500 0.500 0.335
Co 0.500 0.500 0.665
Ni 0.000 0.000 0.500

Output
The crystal system is tetragonal. The formation energy comes out at 0.51 eV/atom.

---

# 2
Sr2CoNi | GGA-PBE | relaxed

Cell: 5.162 5.162 3.665 Å, 90.00 90.00 90.00°
Positions (direct):
Sr 0.000 0.500 0.000
Sr 0.500 0.000 0.000
Co 0.000 0.000 0.500
Ni 0.500 0.500 0.500

Output
The crystal system is tetragonal. The formation energy comes out at 0.45 eV/atom.

---

# 3
SrCo4Ni2 | GGA-PBE | relaxed

Cell: 7.038 7.038 7.038 Å, 142.03 142.03 54.78°
Positions (direct):
Sr 0.000 0.000 0.000
Co 0.000 0.500 0.500
Co 0.233 0.233 0.000
Co 0.500 0.000 0.500
Co 0.767 0.767 0.000
Ni 0.408 0.408 0.000
Ni 0.592 0.592 0.000

Output
The crystal system is tetragonal. The formation energy comes out at 1.69 eV/atom.

---

# 4
SrCo2Ni | GGA-PBE | relaxed

Cell: 4.621 4.621 4.621 Å, 124.18 124.18 82.89°
Positions (direct):
Sr 0.000 0.000 0.000
Co 0.250 0.750 0.500
Co 0.500 0.500 0.000
Ni 0.750 0.250 0.500

Output
The crystal system is tetragonal. The formation energy comes out at 0.72 eV/atom.

---

# 5
SrCoNi2 | GGA-PBE | relaxed

Cell: 3.099 3.099 6.829 Å, 90.00 90.00 90.00°
Positions (direct):
Sr 0.000 0.000 0.000
Co 0.000 0.000 0.500
Ni 0.500 0.500 0.326
Ni 0.500 0.500 0.674

Output
The crystal system is tetragonal. The formation energy comes out at 0.37 eV/atom.

---

# 6
SrCoNi2 | GGA-PBE | relaxed

Cell: 5.486 5.486 5.486 Å, 149.47 128.68 60.91°
Positions (direct):
Sr 0.000 0.000 0.000
Co 0.288 0.788 0.500
Ni 0.498 0.498 0.000
Ni 0.715 0.215 0.500

Output
The crystal system is orthorhombic. The formation energy comes out at 0.55 eV/atom.

---

# 7
SrCo2Ni | GGA-PBE | relaxed

Cell: 8.662 8.662 8.662 Å, 149.45 149.45 43.75°
Positions (direct):
Sr 0.375 0.625 0.750
Sr 0.625 0.375 0.250
Co 0.000 0.000 0.000
Co 0.000 0.000 0.500
Co 0.000 0.500 0.000
Co 0.500 0.000 0.500
Ni 0.125 0.875 0.250
Ni 0.875 0.125 0.750

Output
The crystal system is tetragonal. The formation energy comes out at 0.44 eV/atom.

---

# 8
SrCoNi | GGA-PBE | relaxed

Cell: 3.951 3.951 4.605 Å, 90.00 90.00 120.00°
Positions (direct):
Sr 0.000 0.000 0.000
Co 0.667 0.333 0.500
Ni 0.333 0.667 0.500

Output
The crystal system is hexagonal. The formation energy comes out at 0.18 eV/atom.

---

# 9
SrCo2Ni | GGA-PBE | relaxed

Cell: 4.960 4.960 2.816 Å, 90.00 90.00 114.86°
Positions (direct):
Sr 0.000 0.000 0.000
Co 0.000 0.500 0.500
Co 0.500 0.000 0.500
Ni 0.500 0.500 0.000

Output
The crystal system is orthorhombic. The formation energy comes out at 0.81 eV/atom.

---

# 10
SrCoNi2 | GGA-PBE | relaxed

Cell: 8.379 8.379 8.379 Å, 147.46 147.46 46.68°
Positions (direct):
Sr 0.000 0.000 0.000
Sr 0.750 0.250 0.500
Co 0.250 0.750 0.500
Co 0.500 0.500 0.000
Ni 0.374 0.625 0.249
Ni 0.375 0.624 0.749
Ni 0.376 0.125 0.751
Ni 0.875 0.626 0.251

Output
The crystal system is tetragonal. The formation energy comes out at 0.33 eV/atom.

---

# 11
Sr2CoNi | GGA-PBE | relaxed

Cell: 5.022 5.022 5.022 Å, 60.00 60.00 60.00°
Positions (direct):
Sr 0.000 0.000 0.000
Sr 0.250 0.250 0.250
Co 0.500 0.500 0.500
Ni 0.750 0.750 0.750

Output
The crystal system is cubic. The formation energy comes out at 0.69 eV/atom.

---

# 12
SrCoNi2 | GGA-PBE | relaxed

Cell: 4.527 4.527 4.527 Å, 60.00 60.00 60.00°
Positions (direct):
Sr 0.000 0.000 0.000
Co 0.500 0.500 0.500
Ni 0.250 0.250 0.250
Ni 0.750 0.750 0.750

Output
The crystal system is cubic. The formation energy comes out at 0.62 eV/atom.